1.
! Li4Cr2Ni3Sb3O16 GGA+U relaxed; values from VASP
&SYSTEM
  ibrav = 0, nat = 28, ntyp = 5
/
ATOMIC_SPECIES
Li 6.94 Li.upf
Cr 52.00 Cr.upf
Ni 58.69 Ni.upf
Sb 121.76 Sb.upf
O 16.00 O.upf
CELL_PARAMETERS angstrom
6.071 0.017 0.011
3.053 5.247 0.011
0.241 0.139 9.563
ATOMIC_POSITIONS crystal
Li 0.660 0.660 0.122
Li 0.913 0.913 0.037
Li 0.994 0.994 0.494
Li 0.330 0.330 0.597
Cr 0.678 0.678 0.503
Cr 0.347 0.347 0.021
Ni 0.834 0.834 0.779
Ni 0.178 0.664 0.287
Ni 0.664 0.178 0.287
Sb 0.339 0.836 0.789
Sb 0.836 0.339 0.789
Sb 0.175 0.175 0.283
O 0.339 0.847 0.403
O 0.519 0.519 0.664
O 0.666 0.666 0.901
O 0.008 0.008 0.682
O 0.008 0.008 0.193
O 0.847 0.339 0.403
O 0.513 0.960 0.657
O 0.960 0.513 0.657
O 0.171 0.171 0.893
O 0.834 0.834 0.406
O 0.039 0.484 0.150
O 0.484 0.039 0.150
O 0.333 0.333 0.394
O 0.170 0.681 0.900
O 0.482 0.482 0.155
O 0.681 0.170 0.900
! Calculated volume = 304.1 Å³ per cell
! Final energy = -5.90 eV per atom

2.
! Li4Cr3Ni3Sn2O16 GGA+U relaxed; values from VASP
&SYSTEM
  ibrav = 0, nat = 28, ntyp = 5
/
ATOMIC_SPECIES
Li 6.94 Li.upf
Cr 52.00 Cr.upf
Ni 58.69 Ni.upf
Sn 118.71 Sn.upf
O 16.00 O.upf
CELL_PARAMETERS angstrom
2.974 5.128 -0.018
-2.974 5.128 -0.018
0.000 0.101 9.664
ATOMIC_POSITIONS crystal
Li 0.662 0.662 0.108
Li 0.006 0.006 0.006
Li 0.000 0.000 0.504
Li 0.332 0.332 0.610
Cr 0.835 0.344 0.782
Cr 0.344 0.835 0.782
Cr 0.174 0.174 0.278
Ni 0.832 0.832 0.789
Ni 0.660 0.167 0.286
Ni 0.167 0.660 0.286
Sn 0.667 0.667 0.503
Sn 0.341 0.341 0.005
O 0.841 0.320 0.398
O 0.517 0.517 0.662
O 0.651 0.651 0.893
O 0.010 0.010 0.694
O 0.020 0.020 0.195
O 0.320 0.841 0.398
O 0.964 0.508 0.663
O 0.508 0.964 0.663
O 0.167 0.167 0.896
O 0.842 0.842 0.400
O 0.472 0.034 0.161
O 0.034 0.472 0.161
O 0.301 0.301 0.400
O 0.689 0.167 0.902
O 0.480 0.480 0.167
O 0.167 0.689 0.902
! Calculated volume = 294.9 Å³ per cell
! Final energy = -6.00 eV per atom

3.
! Li4Cr2Ni3Te3O16 GGA+U relaxed; values from VASP
&SYSTEM
  ibrav = 0, nat = 28, ntyp = 5
/
ATOMIC_SPECIES
Li 6.94 Li.upf
Cr 52.00 Cr.upf
Ni 58.69 Ni.upf
Te 127.60 Te.upf
O 16.00 O.upf
CELL_PARAMETERS angstrom
-0.299 -0.538 6.089
4.583 -2.759 -2.987
5.413 7.976 0.732
ATOMIC_POSITIONS crystal
Li 0.343 0.662 0.127
Li 0.020 0.976 0.014
Li 0.005 0.979 0.494
Li 0.692 0.342 0.594
Cr 0.322 0.684 0.502
Cr 0.640 0.328 0.027
Ni 0.173 0.837 0.783
Ni 0.829 0.664 0.284
Ni 0.337 0.173 0.288
Te 0.661 0.830 0.786
Te 0.165 0.342 0.788
Te 0.828 0.174 0.287
O 0.674 0.863 0.399
O 0.500 0.533 0.660
O 0.361 0.690 0.900
O 0.970 0.976 0.682
O 0.987 0.012 0.194
O 0.142 0.330 0.403
O 0.501 0.966 0.661
O 0.052 0.540 0.648
O 0.805 0.125 0.904
O 0.169 0.841 0.400
O 0.954 0.459 0.155
O 0.532 0.040 0.160
O 0.678 0.330 0.394
O 0.820 0.673 0.897
O 0.517 0.476 0.156
O 0.323 0.157 0.905
! Calculated volume = 317.5 Å³ per cell
! Final energy = -5.65 eV per atom

Among the records above, which one has the highest calculated volume? Li4Cr2Ni3Te3O16

Which of these has the lowest final energy? Li4Cr3Ni3Sn2O16